VASP calculation (PBE) on a relaxed structure of PmZrCo10.

CIF file:
```
data_PmZrCo10
_cell_length_a 3.962
_cell_length_b 4.864
_cell_length_c 8.464
_cell_angle_alpha 90.00
_cell_angle_beta 90.00
_cell_angle_gamma 90.00
_space_group_name_H-M_alt 'P m m m'
_space_group_IT_number 47
_space_group_name_Hall '-P 2 2'
loop_
_atom_site_label
_atom_site_fract_x
_atom_site_fract_y
_atom_site_fract_z
Pm1 0.000 0.000 0.000
Zr1 0.000 0.500 0.500
Co1 0.000 0.000 0.344
Co2 0.000 0.500 0.181
Co3 0.500 0.000 0.500
Co4 0.500 0.255 0.258
Co5 0.500 0.500 0.000
```

Output
**Electronic total energy**: -7.11 eV per atom
**Size of the total moment**: 13.4 μB/f.u.
**DFT formation energy**: -0.08 eV per atom